Record 1
# Al2IrOsO

A relaxed structure of Al2IrOsO (PBE-GGA, Alexandria).

Summary:
* energy relative to the elements, uncorrected: 0.2922 eV/atom
* mass density: 8.8 g cm⁻³

Geometry as extended XYZ:
```
5
Lattice="4.877 0.000 0.000 0.000 4.877 0.000 0.000 0.000 3.592" Properties=species:S:1:pos:R:3 pbc="T T T"
Al 0.000 2.439 0.000
Al 2.439 0.000 0.000
Ir 0.000 0.000 1.796
Os 2.439 2.439 0.000
O 2.439 2.439 1.796
```

Record 2
# AlSnH3

A relaxed structure of AlSnH3 (PBE-GGA, Alexandria).

Summary:
* energy: -14.62 eV for the cell shown
* mass density: 3.6 g cm⁻³

Geometry as extended XYZ:
```
5
Lattice="4.082 0.000 0.000 0.000 4.082 0.000 0.000 0.000 4.082" Properties=species:S:1:pos:R:3 pbc="T T T"
Al 0.000 0.000 0.000
Sn 2.041 2.041 2.041
H 0.000 2.041 2.041
H 2.041 0.000 2.041
H 2.041 2.041 0.000
```

Record 3
# TbPrDy2Bi4

A relaxed structure of TbPrDy2Bi4 (PBE-GGA, Alexandria).

Summary:
* mass density: 9.3 g cm⁻³
* formation energy from the elements: -0.884 eV/atom

Geometry as extended XYZ:
```
8
Lattice="7.832 0.000 0.000 0.000 4.526 0.000 -2.613 0.000 7.385" Properties=species:S:1:pos:R:3 pbc="T T T"
Tb 0.000 0.000 0.000
Pr -1.306 2.263 3.692
Dy 2.609 0.000 3.692
Dy 3.916 2.263 0.000
Bi 1.347 2.263 1.826
Bi 0.040 0.000 5.590
Bi 5.179 0.000 1.795
Bi 3.872 2.263 5.559
```